# CaPaReN4

Crystalline CaPaReN4 at its relaxed geometry (PBE, Alexandria via LeMat-Bulk).

a = 6.047 Å, b = 5.631 Å, c = 6.781 Å
α = 90.00°, β = 109.76°, γ = 90.00°
Fractional coordinates of all 14 atoms:
Ca (0.190, 0.250, 0.443)
Ca (0.810, 0.750, 0.557)
Pa (0.302, 0.250, 0.973)
Pa (0.698, 0.750, 0.027)
Re (0.255, 0.750, 0.191)
Re (0.745, 0.250, 0.809)
N (0.041, 0.750, 0.927)
N (0.064, 0.750, 0.351)
N (0.494, 0.015, 0.786)
N (0.494, 0.485, 0.786)
N (0.506, 0.515, 0.214)
N (0.506, 0.985, 0.214)
N (0.936, 0.250, 0.649)
N (0.959, 0.250, 0.073)

Properties
Final energy in Ry per atom: -0.658
Uncorrected formation energy in eV/atom: -0.772
N(E_F) in states/eV/atom: 0.208
Crystal system: monoclinic